(1)
La2Mg2Zn | PBE | optimized geometry

abc: 7.181 7.181 5.357
angles: 90.00 90.00 90.00
Space group P4/mbm (No. 127)
Inequivalent atoms, fractional coordinates:
La 0.164 0.336 0.000
Mg 0.146 0.646 0.500
Zn 0.000 0.000 0.500

Values from the calculation:
magnetic moment: 0.000 μB per formula unit
calculated total energy: -2.934 eV per atom

***

(2)
Sr2AlHgTe5 | PBE | optimized geometry

abc: 4.388 20.796 13.419
angles: 90.00 90.00 90.00
Space group Cmc2_1 (No. 36)
Inequivalent atoms, fractional coordinates:
Sr 0.000 0.099 0.000
Sr 0.000 0.117 0.644
Al 0.000 0.420 0.796
Hg 0.000 0.246 0.402
Te 0.000 0.056 0.406
Te 0.000 0.259 0.057
Te 0.000 0.293 0.758
Te 0.000 0.377 0.327
Te 0.000 0.486 0.630

Values from the calculation:
magnetic moment: 0.000 μB per formula unit
calculated total energy: -3.402 eV per atom

***

(3)
Rb2Cu2Br7 | PBE | optimized geometry

abc: 11.353 15.968 6.112
angles: 90.00 111.68 90.00
Space group C2/m (No. 12)
Inequivalent atoms, fractional coordinates:
Rb 0.000 0.183 0.000
Cu 0.219 0.500 0.986
Br 0.000 0.000 0.500
Br 0.172 0.000 0.287
Br 0.200 0.360 0.028

Values from the calculation:
magnetic moment: 0.893 μB per formula unit
relative energy among the computed polymorphs: 0 meV per atom

***

(4)
SiB3C | PBE | optimized geometry

abc: 3.433 4.013 4.239
angles: 84.54 66.68 83.10
Space group P1 (No. 1)
Inequivalent atoms, fractional coordinates:
Si 0.000 0.000 0.000
B 0.235 0.510 0.860
B 0.358 0.231 0.205
B 0.730 0.451 0.844
C 0.154 0.301 0.589

Values from the calculation:
magnetic moment: 0.000 μB per formula unit
relative energy among the computed polymorphs: 264 meV per atom

***

(5)
YTlF3 | PBE | optimized geometry

abc: 4.748 4.748 4.748
angles: 90.00 90.00 90.00
Space group Pm-3m (No. 221)
Inequivalent atoms, fractional coordinates:
Y 0.000 0.000 0.000
Tl 0.500 0.500 0.500
F 0.000 0.500 0.500

Values from the calculation:
magnetic moment: 1.035 μB per formula unit
relative energy among the computed polymorphs: 1333 meV per atom

***

(6)
NdDy3As4 | PBE | optimized geometry

abc: 8.315 11.759 4.161
angles: 90.00 90.00 90.00
Space group Cmmm (No. 65)
Inequivalent atoms, fractional coordinates:
Nd 0.000 0.000 0.000
Dy 0.000 0.500 0.000
Dy 0.250 0.250 0.500
As 0.000 0.253 0.000
As 0.244 0.500 0.500

Values from the calculation:
magnetic moment: 0.000 μB per formula unit
relative energy among the computed polymorphs: 0 meV per atom

***

(7)
LiCeCdF6 | PBE | optimized geometry

abc: 5.6875 5.6875 9.5810
angles: 90.00 90.00 120.00
Space group P-31c (No. 163)
Inequivalent atoms, fractional coordinates:
Li 0.3333 0.6667 0.2500
Ce 0.3333 0.6667 0.7500
Cd 0.0000 0.0000 0.0000
F 0.0282 0.3501 0.1312

Values from the calculation:
magnetic moment: 0.980 μB per formula unit
calculated total energy: -5.315 eV per atom

***

(8)
Ca3YMn | PBE | optimized geometry

abc: 5.888 5.888 5.888
angles: 90.00 90.00 90.00
Space group Pm-3m (No. 221)
Inequivalent atoms, fractional coordinates:
Ca 0.000 0.000 0.500
Y 0.000 0.000 0.000
Mn 0.500 0.500 0.500

Values from the calculation:
magnetic moment: 2.668 μB per formula unit
relative energy among the computed polymorphs: 1306 meV per atom

***

(9)
NdErPt10 | PBE | optimized geometry

abc: 4.456 5.393 9.289
angles: 90.00 90.00 90.00
Space group Pmmm (No. 47)
Inequivalent atoms, fractional coordinates:
Nd 0.000 0.000 0.000
Er 0.000 0.500 0.500
Pt 0.000 0.000 0.337
Pt 0.000 0.500 0.172
Pt 0.500 0.000 0.500
Pt 0.500 0.251 0.252
Pt 0.500 0.500 0.000

Values from the calculation:
magnetic moment: 0.000 μB per formula unit
calculated total energy: -6.505 eV per atom

***

(10)
Ca2YPdPt | PBE | optimized geometry

abc: 5.869 5.869 4.803
angles: 90.00 90.00 90.00
Space group P4/mmm (No. 123)
Inequivalent atoms, fractional coordinates:
Ca 0.000 0.500 0.000
Y 0.000 0.000 0.000
Pd 0.000 0.000 0.500
Pt 0.500 0.500 0.500

Values from the calculation:
magnetic moment: 1.727 μB per formula unit
calculated total energy: -3.428 eV per atom

***

(11)
RbCd2PbAu2 | PBE | optimized geometry

abc: 4.8919 4.8919 8.5720
angles: 90.00 90.00 120.00
Space group P-3m1 (No. 164)
Inequivalent atoms, fractional coordinates:
Rb 0.0000 0.0000 0.0000
Cd 0.3333 0.6667 0.6955
Pb 0.0000 0.0000 0.5000
Au 0.3333 0.6667 0.3207

Values from the calculation:
magnetic moment: 0.000 μB per formula unit
calculated total energy: -2.335 eV per atom

***

(12)
V2Ni2H3 | PBE | optimized geometry

abc: 8.813 2.667 4.667
angles: 90.00 99.78 90.00
Space group C2/m (No. 12)
Inequivalent atoms, fractional coordinates:
V 0.118 0.000 0.355
Ni 0.122 0.500 0.883
H 0.000 0.500 0.500
H 0.243 0.000 0.734

Values from the calculation:
magnetic moment: 0.000 μB per formula unit
calculated total energy: -5.869 eV per atom

***

(13)
LaIn3N | PBE | optimized geometry

abc: 4.924 4.924 4.924
angles: 90.00 90.00 90.00
Space group Pm-3m (No. 221)
Inequivalent atoms, fractional coordinates:
La 0.000 0.000 0.000
In 0.000 0.500 0.500
N 0.500 0.500 0.500

Values from the calculation:
magnetic moment: 0.492 μB per formula unit
relative energy among the computed polymorphs: 0 meV per atom

***

(14)
LaPmDy2Er2 | PBE | optimized geometry

abc: 6.984 16.090 3.563
angles: 90.00 90.00 90.00
Space group Pnnm (No. 58)
Inequivalent atoms, fractional coordinates:
La 0.000 0.000 0.000
Pm 0.000 0.500 0.500
Dy 0.249 0.341 0.000
Er 0.250 0.158 0.500

Values from the calculation:
magnetic moment: 0.000 μB per formula unit
calculated total energy: -4.492 eV per atom

***

(15)
HfTeSeI2 | PBE | optimized geometry

abc: 5.697 5.697 5.571
angles: 90.00 90.00 90.00
Space group P4/mmm (No. 123)
Inequivalent atoms, fractional coordinates:
Hf 0.000 0.000 0.000
Te 0.000 0.000 0.500
Se 0.500 0.500 0.500
I 0.000 0.500 0.000

Values from the calculation:
magnetic moment: 2.113 μB per formula unit
relative energy among the computed polymorphs: 0 meV per atom

***

(16)
AcPbO | PBE | optimized geometry

abc: 4.0792 4.0792 6.3816
angles: 90.00 90.00 120.00
Space group P-6m2 (No. 187)
Inequivalent atoms, fractional coordinates:
Ac 0.0000 0.0000 0.0000
Pb 0.3333 0.6667 0.5000
O 0.6667 0.3333 0.0000

Values from the calculation:
magnetic moment: 0.590 μB per formula unit
relative energy among the computed polymorphs: 402 meV per atom

***

(17)
NaCBr2 | PBE | optimized geometry

abc: 7.064 7.064 7.064
angles: 90.00 90.00 90.00
Space group Fm-3m (No. 225)
Inequivalent atoms, fractional coordinates:
Na 0.000 0.000 0.000
C 0.000 0.000 0.500
Br 0.250 0.250 0.250

Values from the calculation:
magnetic moment: 1.000 μB per formula unit
relative energy among the computed polymorphs: 369 meV per atom

***

(18)
Rb2GaBr3 | PBE | optimized geometry

abc: 14.098 8.390 8.603
angles: 90.00 90.48 90.00
Space group C2/c (No. 15)
Inequivalent atoms, fractional coordinates:
Rb 0.173 0.174 0.246
Ga 0.000 0.438 0.750
Br 0.000 0.117 0.750
Br 0.168 0.497 0.500

Values from the calculation:
magnetic moment: 0.000 μB per formula unit
relative energy among the computed polymorphs: 46 meV per atom

***

(19)
LaTl4Br7 | PBE | optimized geometry

abc: 22.048 5.761 7.946
angles: 90.00 106.90 90.00
Space group C2/m (No. 12)
Inequivalent atoms, fractional coordinates:
La 0.000 0.000 0.000
Tl 0.085 0.500 0.636
Tl 0.203 0.500 0.248
Br 0.000 0.500 0.000
Br 0.077 0.000 0.367
Br 0.117 0.000 0.894
Br 0.224 0.500 0.660

Values from the calculation:
magnetic moment: 0.000 μB per formula unit
calculated total energy: -3.370 eV per atom

***

(20)
KRb2Ag2Cl7 | PBE | optimized geometry

abc: 5.171 5.171 26.256
angles: 90.00 90.00 90.00
Space group I4/mmm (No. 139)
Inequivalent atoms, fractional coordinates:
K 0.000 0.000 0.000
Rb 0.000 0.000 0.179
Ag 0.000 0.000 0.403
Cl 0.000 0.000 0.306
Cl 0.000 0.000 0.500
Cl 0.000 0.500 0.092

Values from the calculation:
magnetic moment: 0.000 μB per formula unit
calculated total energy: -2.994 eV per atom

***

(21)
Sr2Cd5Ag | PBE | optimized geometry

abc: 4.756 18.245 10.350
angles: 90.00 90.00 90.00
Space group Cmcm (No. 63)
Inequivalent atoms, fractional coordinates:
Sr 0.000 0.000 0.000
Sr 0.000 0.193 0.250
Cd 0.000 0.191 0.608
Cd 0.000 0.355 0.529
Cd 0.000 0.399 0.250
Ag 0.000 0.447 0.750

Values from the calculation:
magnetic moment: 0.000 μB per formula unit
calculated total energy: -1.618 eV per atom

***

(22)
LiNd8Al2 | PBE | optimized geometry

abc: 18.331 5.218 7.197
angles: 90.00 101.96 90.00
Space group C2/m (No. 12)
Inequivalent atoms, fractional coordinates:
Li 0.000 0.000 0.000
Nd 0.027 0.500 0.752
Nd 0.097 0.000 0.467
Nd 0.162 0.000 0.951
Nd 0.194 0.500 0.283
Al 0.197 0.500 0.724

Values from the calculation:
magnetic moment: 0.000 μB per formula unit
calculated total energy: -4.405 eV per atom

***

(23)
Cs2TlBCl6 | PBE | optimized geometry

abc: 7.319 7.319 11.340
angles: 90.00 90.00 90.00
Space group I4/mmm (No. 139)
Inequivalent atoms, fractional coordinates:
Cs 0.000 0.500 0.250
Tl 0.000 0.000 0.000
B 0.000 0.000 0.500
Cl 0.000 0.000 0.265
Cl 0.197 0.197 0.500

Values from the calculation:
magnetic moment: 0.000 μB per formula unit
calculated total energy: -3.252 eV per atom